# 1
Computed, not measured: a geometry-optimized V2RuI structure at the PBE-GGA level of DFT.

Calculated values
* spin magnetization: 16.22 μB/cell
* E_form (uncorrected): 850 meV/atom
* E above lowest polymorph: 175 meV per atom

Structure (CIF):
```
data_V2RuI
_chemical_formula_sum 'V8 Ru4 I4'
_cell_length_a 5.898
_cell_length_b 5.898
_cell_length_c 11.479
_cell_angle_alpha 90.00
_cell_angle_beta 90.00
_cell_angle_gamma 90.00
_space_group_name_H-M_alt 'I -4 2 d'
_space_group_IT_number 122
_space_group_name_Hall 'I -4 2bw'
loop_
_atom_site_label
_atom_site_type_symbol
_atom_site_fract_x
_atom_site_fract_y
_atom_site_fract_z
V1 V 0.191 0.250 0.125
Ru1 Ru 0.000 0.000 0.000
I1 I 0.000 0.000 0.500
```

***

# 2
Computed, not measured: a geometry-optimized LiYTlPd structure at the PBE-GGA level of DFT.

Calculated values
* energy of formation from the pure elements: -0.502 eV per atom
* spin magnetization: 0.00 μB/cell

Structure (CIF):
```
data_LiYTlPd
_chemical_formula_sum 'Li4 Y4 Tl4 Pd4'
_cell_length_a 6.846
_cell_length_b 6.846
_cell_length_c 6.846
_cell_angle_alpha 90.00
_cell_angle_beta 90.00
_cell_angle_gamma 90.00
_space_group_name_H-M_alt 'F -4 3 m'
_space_group_IT_number 216
_space_group_name_Hall 'F -4 2 3'
loop_
_atom_site_label
_atom_site_type_symbol
_atom_site_fract_x
_atom_site_fract_y
_atom_site_fract_z
Li1 Li 0.000 0.000 0.000
Y1 Y 0.250 0.250 0.750
Tl1 Tl 0.250 0.250 0.250
Pd1 Pd 0.000 0.000 0.500
```

***

# 3
Computed, not measured: a geometry-optimized Tb6Ce2Ho3Sc structure at the PBE-GGA level of DFT.

Calculated values
* energy of formation from the pure elements: 0.053 eV per atom
* spin magnetization: 3.88 μB/cell

Structure (CIF):
```
data_Tb6Ce2Ho3Sc
_chemical_formula_sum 'Tb12 Ce4 Ho6 Sc2'
_cell_length_a 6.089
_cell_length_b 10.546
_cell_length_c 11.667
_cell_angle_alpha 90.00
_cell_angle_beta 100.04
_cell_angle_gamma 90.00
_space_group_name_H-M_alt 'C 1 2/m 1'
_space_group_IT_number 12
loop_
_space_group_symop_operation_xyz
'x,y,z'
'-x,-y,-z'
'-x,y,-z'
'x,-y,z'
'x+1/2,y+1/2,z'
'-x+1/2,-y+1/2,-z'
'-x+1/2,y+1/2,-z'
'x+1/2,-y+1/2,z'
loop_
_atom_site_label
_atom_site_type_symbol
_atom_site_fract_x
_atom_site_fract_y
_atom_site_fract_z
Tb1 Tb 0.249 0.166 0.247
Tb2 Tb 0.250 0.000 0.752
Ce1 Ce 0.000 0.334 0.000
Ho1 Ho 0.000 0.166 0.500
Ho2 Ho 0.000 0.500 0.500
Sc1 Sc 0.000 0.000 0.000
```

***

# 4
Computed, not measured: a geometry-optimized HfNb3 structure at the PBE-GGA level of DFT.

Calculated values
* energy of formation from the pure elements: 0.054 eV per atom
* spin magnetization: 0.00 μB/cell
* E above lowest polymorph: 28 meV per atom

Structure (CIF):
```
data_HfNb3
_chemical_formula_sum 'Hf1 Nb3'
_cell_length_a 4.762
_cell_length_b 4.762
_cell_length_c 3.363
_cell_angle_alpha 90.00
_cell_angle_beta 90.00
_cell_angle_gamma 90.00
_space_group_name_H-M_alt 'P 4/m m m'
_space_group_IT_number 123
_space_group_name_Hall '-P 4 2'
loop_
_atom_site_label
_atom_site_type_symbol
_atom_site_fract_x
_atom_site_fract_y
_atom_site_fract_z
Hf1 Hf 0.000 0.000 0.000
Nb1 Nb 0.000 0.500 0.500
Nb2 Nb 0.500 0.500 0.000
```

***

# 5
Computed, not measured: a geometry-optimized Tl2PAu structure at the PBE-GGA level of DFT.

Calculated values
* energy of formation from the pure elements: 0.139 eV per atom
* spin magnetization: 0.00 μB/cell
* E above lowest polymorph: 174 meV per atom

Structure (CIF):
```
data_Tl2PAu
_chemical_formula_sum 'Tl2 P1 Au1'
_cell_length_a 3.484
_cell_length_b 3.617
_cell_length_c 8.147
_cell_angle_alpha 90.00
_cell_angle_beta 90.00
_cell_angle_gamma 90.00
_space_group_name_H-M_alt 'P m m 2'
_space_group_IT_number 25
loop_
_space_group_symop_operation_xyz
'x,y,z'
'-x,-y,z'
'-x,y,z'
'x,-y,z'
loop_
_atom_site_label
_atom_site_type_symbol
_atom_site_fract_x
_atom_site_fract_y
_atom_site_fract_z
Tl1 Tl 0.000 0.000 0.000
Tl2 Tl 0.500 0.500 0.336
P1 P 0.500 0.500 0.698
Au1 Au 0.000 0.000 0.630
```

***

# 6
Computed, not measured: a geometry-optimized Ir3Cl structure at the PBE-GGA level of DFT.

Calculated values
* spin magnetization: 0.01 μB/cell
* E_form (uncorrected): 1141 meV/atom
* E above lowest polymorph: 672 meV per atom

Structure (CIF):
```
data_Ir3Cl
_chemical_formula_sum 'Ir9 Cl3'
_cell_length_a 8.6350
_cell_length_b 8.6350
_cell_length_c 2.8671
_cell_angle_alpha 90.00
_cell_angle_beta 90.00
_cell_angle_gamma 120.00
_space_group_name_H-M_alt 'R -3 m'
_space_group_IT_number 166
_space_group_name_Hall '-R 3 2"'
loop_
_atom_site_label
_atom_site_type_symbol
_atom_site_fract_x
_atom_site_fract_y
_atom_site_fract_z
Ir1 Ir 0.0000 0.5000 0.0000
Cl1 Cl 0.0000 0.0000 0.0000
```

***

# 7
Computed, not measured: a geometry-optimized Tb2PmGa3 structure at the PBE-GGA level of DFT.

Calculated values
* energy of formation from the pure elements: -0.581 eV per atom
* spin magnetization: 0.00 μB/cell

Structure (CIF):
```
data_Tb2PmGa3
_chemical_formula_sum 'Tb2 Pm1 Ga3'
_cell_length_a 3.602
_cell_length_b 3.602
_cell_length_c 10.920
_cell_angle_alpha 90.00
_cell_angle_beta 90.00
_cell_angle_gamma 90.00
_space_group_name_H-M_alt 'P 4/m m m'
_space_group_IT_number 123
_space_group_name_Hall '-P 4 2'
loop_
_atom_site_label
_atom_site_type_symbol
_atom_site_fract_x
_atom_site_fract_y
_atom_site_fract_z
Tb1 Tb 0.000 0.000 0.164
Pm1 Pm 0.000 0.000 0.500
Ga1 Ga 0.500 0.500 0.000
Ga2 Ga 0.500 0.500 0.326
```

***

# 8
Computed, not measured: a geometry-optimized Ba3BeNb structure at the PBE-GGA level of DFT.

Calculated values
* energy of formation from the pure elements: 1.161 eV per atom
* spin magnetization: 0.00 μB/cell
* E above lowest polymorph: 0 meV per atom

Structure (CIF):
```
data_Ba3BeNb
_chemical_formula_sum 'Ba3 Be1 Nb1'
_cell_length_a 6.057
_cell_length_b 6.057
_cell_length_c 6.057
_cell_angle_alpha 90.00
_cell_angle_beta 90.00
_cell_angle_gamma 90.00
_space_group_name_H-M_alt 'P m -3 m'
_space_group_IT_number 221
_space_group_name_Hall '-P 4 2 3'
loop_
_atom_site_label
_atom_site_type_symbol
_atom_site_fract_x
_atom_site_fract_y
_atom_site_fract_z
Ba1 Ba 0.000 0.000 0.500
Be1 Be 0.500 0.500 0.500
Nb1 Nb 0.000 0.000 0.000
```

***

Please write out number 2 again, unchanged.
Computed, not measured: a geometry-optimized LiYTlPd structure at the PBE-GGA level of DFT.

Calculated values
* energy of formation from the pure elements: -0.502 eV per atom
* spin magnetization: 0.00 μB/cell

Structure (CIF):
```
data_LiYTlPd
_chemical_formula_sum 'Li4 Y4 Tl4 Pd4'
_cell_length_a 6.846
_cell_length_b 6.846
_cell_length_c 6.846
_cell_angle_alpha 90.00
_cell_angle_beta 90.00
_cell_angle_gamma 90.00
_space_group_name_H-M_alt 'F -4 3 m'
_space_group_IT_number 216
_space_group_name_Hall 'F -4 2 3'
loop_
_atom_site_label
_atom_site_type_symbol
_atom_site_fract_x
_atom_site_fract_y
_atom_site_fract_z
Li1 Li 0.000 0.000 0.000
Y1 Y 0.250 0.250 0.750
Tl1 Tl 0.250 0.250 0.250
Pd1 Pd 0.000 0.000 0.500
```